(1)
In2SbCl | the Alexandria database | meta-GGA SCAN | single point on PBEsol structure; density = 6.420 g/cm³; distance to the lowest polymorph of the same formula = 253 meV per atom
1.0
3.393 0.000 0.000
1.696 2.938 0.000
1.696 0.979 10.037
Sb Cl In
1 1 2
direct
0.500 0.500 0.500 Sb
0.000 0.000 0.000 Cl
0.258 0.258 0.227 In
0.742 0.742 0.773 In

=====

(2)
Sr3P4O13 | the Alexandria database | meta-GGA SCAN | single point on PBEsol structure; density = 3.678 g/cm³; total DFT energy (no corrections) = -248.58 eV/f.u.
1.0
7.263 0.008 -0.010
-0.580 7.721 -0.003
-2.333 -2.401 9.581
Sr P O
6 8 26
direct
0.786 0.771 0.375 Sr
0.214 0.229 0.625 Sr
0.708 0.218 0.139 Sr
0.292 0.782 0.861 Sr
0.752 0.022 0.758 Sr
0.248 0.978 0.242 Sr
0.139 0.461 0.347 P
0.861 0.539 0.653 P
0.825 0.814 0.024 P
0.175 0.186 0.976 P
0.669 0.190 0.489 P
0.331 0.810 0.511 P
0.637 0.462 0.861 P
0.363 0.538 0.139 P
0.452 0.512 0.787 O
0.548 0.488 0.213 O
0.794 0.470 0.774 O
0.206 0.530 0.226 O
0.185 0.279 0.361 O
0.815 0.721 0.639 O
0.995 0.809 0.961 O
0.005 0.191 0.039 O
0.738 0.403 0.514 O
0.262 0.597 0.486 O
0.932 0.486 0.319 O
0.068 0.514 0.681 O
0.527 0.180 0.576 O
0.473 0.820 0.424 O
0.339 0.097 0.048 O
0.661 0.903 0.952 O
0.152 0.895 0.456 O
0.848 0.105 0.544 O
0.121 0.111 0.818 O
0.879 0.889 0.182 O
0.265 0.394 0.996 O
0.735 0.606 0.004 O
0.406 0.874 0.668 O
0.594 0.126 0.332 O
0.370 0.717 0.104 O
0.630 0.283 0.896 O

=====

(3)
Pt2NO | the Alexandria database | meta-GGA SCAN | single point on PBEsol structure; density = 13.760 g/cm³; total DFT energy (no corrections) = -153.45 eV/f.u.
1.0
4.109 0.000 0.000
0.000 4.109 0.000
-2.055 -2.055 6.006
O Pt N
2 4 2
direct
0.250 0.750 0.500 O
0.000 0.000 0.000 O
0.832 0.375 0.250 Pt
0.418 0.875 0.250 Pt
0.625 0.582 0.750 Pt
0.125 0.168 0.750 Pt
0.750 0.250 0.500 N
0.500 0.500 0.000 N

=====

(4)
TlPtBr4 | the Alexandria database | meta-GGA SCAN | single point on PBEsol structure; density = 7.683 g/cm³; total DFT energy (no corrections) = -215.12 eV/f.u.
1.0
6.035 0.000 0.000
3.018 5.226 0.000
3.018 1.742 4.928
Br Pt Tl
4 1 1
direct
0.376 0.376 0.376 Br
0.376 0.376 0.872 Br
0.872 0.376 0.376 Br
0.376 0.872 0.376 Br
0.750 0.750 0.750 Pt
0.000 0.000 0.000 Tl

=====

(5)
PtW3 | the Alexandria database | meta-GGA SCAN | single point on PBEsol structure; density = 20.160 g/cm³; total DFT energy (no corrections) = -279.42 eV/f.u.
1.0
-1.108 -1.836 -3.314
-0.295 -3.401 1.982
-3.777 0.804 0.817
Pt W
1 3
direct
0.000 0.000 0.000 Pt
0.000 0.500 0.500 W
0.500 0.000 0.500 W
0.500 0.500 0.000 W

=====

(6)
SrAlIr4 | the Alexandria database | meta-GGA SCAN | single point on PBEsol structure; density = 14.260 g/cm³; total DFT energy (no corrections) = -315.07 eV/f.u.
1.0
-4.418 1.867 2.158
-4.672 -1.846 -1.558
-2.837 -3.034 3.226
Al Ir Sr
1 4 1
direct
0.000 0.000 0.000 Al
0.375 0.375 0.375 Ir
0.375 0.375 0.876 Ir
0.876 0.375 0.375 Ir
0.375 0.876 0.375 Ir
0.750 0.750 0.750 Sr

=====

(7)
CoRu2Cl | the Alexandria database | meta-GGA SCAN | single point on PBEsol structure; density = 7.397 g/cm³; distance to the lowest polymorph of the same formula = 188 meV per atom
1.0
2.730 0.000 0.000
1.365 3.931 -0.024
1.365 0.059 6.204
Ru Co Cl
2 1 1
direct
0.199 0.937 0.666 Ru
0.801 0.063 0.334 Ru
0.000 0.500 0.500 Co
0.500 0.000 0.000 Cl

=====

(8)
LaPrNi10 | the Alexandria database | meta-GGA SCAN | single point on PBEsol structure; density = 8.840 g/cm³; total DFT energy (no corrections) = -251.04 eV/f.u.
1.0
-3.042 2.247 1.005
-2.577 -1.809 -3.756
-2.931 -6.204 4.999
La Pr Ni
1 1 10
direct
0.000 0.000 0.000 La
0.000 0.500 0.500 Pr
0.000 0.000 0.333 Ni
0.000 0.500 0.834 Ni
0.000 0.500 0.166 Ni
0.000 0.000 0.667 Ni
0.500 0.000 0.500 Ni
0.500 0.500 0.000 Ni
0.500 0.251 0.251 Ni
0.500 0.749 0.749 Ni
0.500 0.749 0.251 Ni
0.500 0.251 0.749 Ni